Density functional theory data (GGA-PBE) for crystalline Ca2RhAuC at its relaxed geometry.

The space group is P4/mmm (No. 123) and the conventional cell measures 5.138, 5.138 and 3.848 Å, with angles of 90.00, 90.00 and 90.00 degrees. The inequivalent atoms are Ca at (0.000, 0.500, 0.000), Rh at (0.000, 0.000, 0.500), Au at (0.500, 0.500, 0.500) and C at (0.000, 0.000, 0.000).

As for the energy above the lowest structure with this stoichiometry: 0 meV/atom. The magnetic moment comes out at 0.000 μB per atom. The crystal system is tetragonal. The formation energy is -0.39 eV per atom. As for the calculated volume: 20.32 A^3/atom.